No. 1
{
  "formula": "YFeCl2",
  "functional": "GGA-PBE",
  "state": "optimized geometry",
  "raw_formation_energy_kj_per_mol_atoms": -78.2,
  "de_polymorph_ev_per_atom": 0.0112,
  "dos_ef_per_ev_fu": 2.65,
  "lattice": [[-4.4362, -3.8838, 3.7413], [-1.2751, -4.1368, 5.4792], [-1.0430, 3.4480, 2.3991]],
  "species": ["Y", "Cl", "Cl", "Fe"],
  "frac_coords": [[0.2500, 0.2500, 0.2500], [0.8889, 0.8889, 0.0174], [0.6111, 0.6111, 0.4826], [0.7500, 0.7500, 0.7500]]
}

---

No. 2
{
  "formula": "La5Co2Pd",
  "functional": "GGA-PBE",
  "state": "optimized geometry",
  "dos_ef_per_ev_fu": 8.56,
  "delta_e_f_kcal_per_mol_atoms": -6.36,
  "lattice": [[6.9195, 0.0000, -3.2664], [-1.5419, 6.7455, -3.2664], [-0.0208, -0.0261, 8.9182]],
  "species": ["La", "La", "La", "La", "La", "La", "La", "La", "La", "La", "Pd", "Pd", "Co", "Co", "Co", "Co"],
  "frac_coords": [[0.5324, 0.6992, 0.7317], [0.6992, 0.1992, 0.7317], [0.1992, 0.0324, 0.7317], [0.4676, 0.3008, 0.2683], [0.3008, 0.8008, 0.2683], [0.5000, 0.5000, 0.0000], [0.8008, 0.9676, 0.2683], [0.9676, 0.4676, 0.2683], [0.0000, 0.0000, 0.0000], [0.0324, 0.5324, 0.7317], [0.7500, 0.7500, 0.5000], [0.2500, 0.2500, 0.5000], [0.3690, 0.8690, 0.0000], [0.8690, 0.6310, 0.0000], [0.1310, 0.3690, 0.0000], [0.6310, 0.1310, 0.0000]]
}

---

No. 3
{
  "formula": "YTm5Tl5",
  "functional": "GGA-PBE",
  "state": "optimized geometry",
  "dos_ef_per_ev_fu": 8.87,
  "delta_e_f_kcal_per_mol_atoms": -1.71,
  "lattice": [[5.8409, 0.0000, 0.0000], [-2.9205, 7.9048, 0.9177], [0.0000, -1.9672, 6.8011]],
  "species": ["Y", "Tm", "Tm", "Tm", "Tm", "Tm", "Tl", "Tl", "Tl", "Tl", "Tl"],
  "frac_coords": [[0.0000, 0.0000, 0.0000], [0.6308, 0.2617, 0.4046], [0.6752, 0.3504, 0.9139], [0.3692, 0.7383, 0.5954], [0.0000, 0.0000, 0.5000], [0.3248, 0.6496, 0.0861], [0.8283, 0.6567, 0.7150], [0.1717, 0.3433, 0.2850], [0.8232, 0.6464, 0.2664], [0.5000, 0.0000, 0.0000], [0.1768, 0.3536, 0.7336]]
}

---

No. 4
{
  "formula": "TcGeSeN2",
  "functional": "GGA-PBE",
  "state": "optimized geometry",
  "raw_formation_energy_kj_per_mol_atoms": 54.9,
  "de_polymorph_ev_per_atom": 0.0000,
  "dos_ef_per_ev_fu": 3.84,
  "lattice": [[-2.0099, -0.8644, 3.1992], [-2.2015, -2.4483, -2.0447], [3.4194, -3.9724, 1.0748]],
  "species": ["Se", "Ge", "Tc", "N", "N"],
  "frac_coords": [[0.0000, 0.0000, 0.5000], [0.5000, 0.5000, 0.5000], [0.0000, 0.0000, 0.0000], [0.0000, 0.5000, 0.0000], [0.5000, 0.0000, 0.0000]]
}

---

Number 1: VASP energy -5.47 eV per atom. Number 2: VASP energy -5.78 eV per atom. Number 3: VASP energy -3.77 eV per atom. Number 4: VASP energy -6.45 eV per atom.